Computed, not measured: an optimized crystal structure of Tm2MnTlO6 at the GGA+U level of DFT.

Values from the calculation:
* electronic total energy: -7.188 eV/atom
* space-group type: P1, No. 1
* mass density: 8.49 g cm⁻³

abc: 5.563 5.565 5.868
angles: 62.49 63.68 61.48
Atoms (fractional coordinates):
1 Tm 0.000 0.000 0.000
2 Tm 0.496 0.486 0.532
3 Mn 0.695 0.698 0.906
4 Tl 0.217 0.218 0.356
5 O 0.097 0.396 0.687
6 O 0.295 0.885 0.217
7 O 0.426 0.781 0.725
8 O 0.619 0.329 0.172
9 O 0.779 0.059 0.721
10 O 0.876 0.614 0.181